CoCuF2, relaxed, DFT PBE+U; total DFT energy (no corrections) = -4.37 eV per atom; size of the total moment = 2.91 μB per cell; D(E_F) = 0.7 states/eV/cell
1.0
1.7123 0.0000 8.3672
-0.8561 1.4829 8.3672
-0.8561 -1.4829 8.3672
Co Cu F
1 1 2
direct
0.5000 0.5000 0.5000 Co
0.0000 0.0000 0.0000 Cu
0.8765 0.8765 0.8765 F
0.1235 0.1235 0.1235 F